[1]
A relaxed structure of V3POs, computed with PBE-GGA.

calculated density	8.16	g cm⁻³
crystal system	cubic
energy relative to the elements	0.437	eV per atom

abc: 4.2374 4.2374 4.2374
angles: 90.00 90.00 90.00
Space group Pm-3m (No. 221)
Inequivalent atoms, fractional coordinates:
V 0.0000 0.0000 0.5000 [3 per cell]
P 0.0000 0.0000 0.0000 [1 per cell]
Os 0.5000 0.5000 0.5000 [1 per cell]


[2]
A relaxed structure of V2P2Os, computed with PBE-GGA.

calculated density	9.12	g cm⁻³
crystal system	tetragonal
energy relative to the elements	-0.433	eV per atom

abc: 6.4317 6.4317 3.1168
angles: 90.00 90.00 90.00
Space group P4/mbm (No. 127)
Inequivalent atoms, fractional coordinates:
V 0.1441 0.3559 0.0000 [4 per cell]
P 0.1507 0.6507 0.5000 [4 per cell]
Os 0.0000 0.0000 0.5000 [2 per cell]


[3]
A relaxed structure of YVP2Os, computed with PBE-GGA.

calculated density	5.81	g cm⁻³
crystal system	tetragonal
energy relative to the elements	0.620	eV per atom

abc: 4.5617 4.5617 5.3855
angles: 90.00 90.00 90.00
Space group P4/mmm (No. 123)
Inequivalent atoms, fractional coordinates:
Y 0.0000 0.0000 0.0000 [1 per cell]
V 0.5000 0.5000 0.0000 [1 per cell]
P 0.0000 0.5000 0.5000 [2 per cell]
Os 0.0000 0.0000 0.5000 [1 per cell]


[4]
A relaxed structure of POsW, computed with PBE-GGA.

calculated density	15.12	g cm⁻³
crystal system	monoclinic
energy relative to the elements	-0.110	eV per atom

abc: 9.5902 2.9826 6.3910
angles: 90.00 103.23 90.00
Space group C2/m (No. 12)
Inequivalent atoms, fractional coordinates:
P 0.0706 0.0000 0.3122 [4 per cell]
Os 0.1367 0.0000 0.9644 [4 per cell]
W 0.1573 0.5000 0.6193 [4 per cell]


[5]
A relaxed structure of POsW, computed with PBE-GGA.

calculated density	16.18	g cm⁻³
crystal system	tetragonal
energy relative to the elements	-0.077	eV per atom

abc: 2.9136 2.9136 9.7934
angles: 90.00 90.00 90.00
Space group I4mm (No. 107)
Inequivalent atoms, fractional coordinates:
P 0.0000 0.0000 0.0000 [2 per cell]
Os 0.0000 0.0000 0.6512 [2 per cell]
W 0.0000 0.0000 0.3442 [2 per cell]


[6]
A relaxed structure of P3OsW, computed with PBE-GGA.

calculated density	8.17	g cm⁻³
crystal system	cubic
energy relative to the elements	1.415	eV per atom

abc: 4.5615 4.5615 4.5615
angles: 90.00 90.00 90.00
Space group Pm-3m (No. 221)
Inequivalent atoms, fractional coordinates:
P 0.0000 0.0000 0.5000 [3 per cell]
Os 0.0000 0.0000 0.0000 [1 per cell]
W 0.5000 0.5000 0.5000 [1 per cell]


[7]
A relaxed structure of POsW, computed with PBE-GGA.

calculated density	15.84	g cm⁻³
crystal system	hexagonal
energy relative to the elements	-0.037	eV per atom

abc: 4.1552 4.1552 2.8391
angles: 90.00 90.00 120.00
Space group P-6m2 (No. 187)
Inequivalent atoms, fractional coordinates:
P 0.0000 0.0000 0.0000 [1 per cell]
Os 0.6667 0.3333 0.0000 [1 per cell]
W 0.3333 0.6667 0.5000 [1 per cell]


[8]
A relaxed structure of P4OsW, computed with PBE-GGA.

calculated density	10.03	g cm⁻³
crystal system	cubic
energy relative to the elements	1.012	eV per atom

abc: 6.9086 6.9086 6.9086
angles: 90.00 90.00 90.00
Space group F-43m (No. 216)
Inequivalent atoms, fractional coordinates:
P 0.1247 0.1247 0.1247 [16 per cell]
Os 0.0000 0.0000 0.5000 [4 per cell]
W 0.2500 0.2500 0.7500 [4 per cell]


[9]
A relaxed structure of POsW, computed with PBE-GGA.

calculated density	15.42	g cm⁻³
crystal system	orthorhombic
energy relative to the elements	0.209	eV per atom

abc: 2.8838 4.0479 7.4754
angles: 90.00 90.00 90.00
Space group Imm2 (No. 44)
Inequivalent atoms, fractional coordinates:
P 0.0000 0.0000 0.0000 [2 per cell]
Os 0.0000 0.0000 0.6774 [2 per cell]
W 0.0000 0.0000 0.3289 [2 per cell]


[10]
A relaxed structure of POsW, computed with PBE-GGA.

calculated density	13.32	g cm⁻³
crystal system	cubic
energy relative to the elements	0.368	eV per atom

abc: 5.8675 5.8675 5.8675
angles: 90.00 90.00 90.00
Space group F-43m (No. 216)
Inequivalent atoms, fractional coordinates:
P 0.0000 0.0000 0.0000 [4 per cell]
Os 0.0000 0.0000 0.5000 [4 per cell]
W 0.2500 0.2500 0.2500 [4 per cell]


[11]
A relaxed structure of POsW, computed with PBE-GGA.

calculated density	15.73	g cm⁻³
crystal system	trigonal
energy relative to the elements	0.125	eV per atom

abc: 2.8362 2.8362 6.1390
angles: 90.00 90.00 120.00
Space group P3m1 (No. 156)
Inequivalent atoms, fractional coordinates:
P 0.0000 0.0000 0.0000 [1 per cell]
Os 0.3333 0.6667 0.6979 [1 per cell]
W 0.6667 0.3333 0.3334 [1 per cell]


[12]
A relaxed structure of POsW, computed with PBE-GGA.

calculated density	13.48	g cm⁻³
crystal system	cubic
energy relative to the elements	0.130	eV per atom

abc: 5.8444 5.8444 5.8444
angles: 90.00 90.00 90.00
Space group F-43m (No. 216)
Inequivalent atoms, fractional coordinates:
P 0.0000 0.0000 0.0000 [4 per cell]
Os 0.2500 0.2500 0.7500 [4 per cell]
W 0.0000 0.0000 0.5000 [4 per cell]